Record 1
Material: Mg2ZrCr
Method: DFT, GGA-PBE
State: relaxed

POSCAR file:
```
Mg2ZrCr
1.0
3.203 0.000 0.000
0.000 3.203 0.000
0.000 0.000 7.946
Mg Zr Cr
2 1 1
direct
0.000 0.000 0.000 Mg
0.500 0.500 0.270 Mg
0.000 0.000 0.566 Zr
0.500 0.500 0.778 Cr
```

## Properties
For the formation enthalpy at 0 K, the calculation gives 0.1647 eV per atom. The calculation puts the density of states at the Fermi level at 2.1 states/eV/cell. Its space-group type is No. 99.


Record 2
Material: Mn5Cr
Method: DFT, GGA-PBE
State: relaxed

POSCAR file:
```
Mn5Cr
1.0
4.079 0.000 0.000
0.000 1.237 6.494
0.000 -1.237 6.494
Mn Cr
5 1
direct
0.000 0.000 0.000 Mn
0.000 0.331 0.331 Mn
0.000 0.667 0.667 Mn
0.500 0.222 0.222 Mn
0.500 0.559 0.559 Mn
0.500 0.891 0.891 Cr
```

## Properties
For the formation enthalpy at 0 K, the calculation gives 0.1193 eV per atom. The calculation puts the density of states at the Fermi level at 9.8 states/eV/cell. Its space-group type is No. 38.


Record 3
Material: Mn5Cr3
Method: DFT, GGA-PBE
State: relaxed

POSCAR file:
```
Mn5Cr3
1.0
6.066 -2.245 0.000
6.066 2.245 0.000
-6.057 0.000 6.723
Mn Cr
10 6
direct
0.000 0.000 0.000 Mn
0.178 0.178 0.534 Mn
0.215 0.684 0.719 Mn
0.241 0.241 0.079 Mn
0.365 0.365 0.907 Mn
0.507 0.507 0.498 Mn
0.684 0.215 0.719 Mn
0.719 0.719 0.440 Mn
0.729 0.729 0.943 Mn
0.882 0.882 0.363 Mn
0.117 0.117 0.721 Cr
0.233 0.734 0.220 Cr
0.243 0.243 0.341 Cr
0.622 0.622 0.099 Cr
0.734 0.233 0.220 Cr
0.759 0.759 0.721 Cr
```

## Properties
For the formation enthalpy at 0 K, the calculation gives 0.1653 eV per atom. The calculation puts the density of states at the Fermi level at 18.7 states/eV/cell. Its space-group type is No. 8.


Record 4
Material: Mn2Cr
Method: DFT, GGA-PBE
State: relaxed

POSCAR file:
```
Mn2Cr
1.0
-2.797 2.797 2.230
2.797 -2.797 2.230
2.797 2.797 -2.230
Mn Cr
4 2
direct
0.142 0.642 0.785 Mn
0.358 0.142 0.500 Mn
0.642 0.858 0.500 Mn
0.858 0.358 0.215 Mn
0.250 0.250 0.000 Cr
0.750 0.750 0.000 Cr
```

## Properties
For the formation enthalpy at 0 K, the calculation gives 0.3456 eV per atom. The calculation puts the density of states at the Fermi level at 9.4 states/eV/cell. Its space-group type is No. 140.


Record 5
Material: MnCr3
Method: DFT, GGA-PBE
State: relaxed

POSCAR file:
```
MnCr3
1.0
4.732 0.000 0.000
0.000 8.220 0.000
0.000 0.000 4.744
Mn Cr
4 12
direct
0.018 0.250 0.189 Mn
0.482 0.750 0.689 Mn
0.518 0.250 0.311 Mn
0.982 0.750 0.811 Mn
0.011 0.250 0.704 Cr
0.249 0.003 0.071 Cr
0.249 0.497 0.071 Cr
0.251 0.503 0.571 Cr
0.251 0.997 0.571 Cr
0.489 0.750 0.204 Cr
0.511 0.250 0.796 Cr
0.749 0.003 0.429 Cr
0.749 0.497 0.429 Cr
0.751 0.503 0.929 Cr
0.751 0.997 0.929 Cr
0.989 0.750 0.296 Cr
```

## Properties
For the formation enthalpy at 0 K, the calculation gives 0.1577 eV per atom. The calculation puts the density of states at the Fermi level at 17.0 states/eV/cell. Its space-group type is No. 62.


Record 6
Material: MnCr2
Method: DFT, GGA-PBE
State: relaxed

POSCAR file:
```
MnCr2
1.0
-1.137 2.101 3.665
1.137 -2.101 3.665
1.137 2.101 -3.665
Mn Cr
1 2
direct
0.000 0.000 0.000 Mn
0.325 0.825 0.500 Cr
0.675 0.175 0.500 Cr
```

## Properties
For the formation enthalpy at 0 K, the calculation gives 0.3837 eV per atom. The calculation puts the density of states at the Fermi level at 3.9 states/eV/cell. Its space-group type is No. 71.


Record 7
Material: Mn2Cr
Method: DFT, GGA-PBE
State: relaxed

POSCAR file:
```
Mn2Cr
1.0
5.623 0.000 0.000
-2.811 4.870 0.000
0.000 0.000 3.839
Mn Cr
6 3
direct
0.000 0.248 0.000 Mn
0.000 0.581 0.500 Mn
0.248 0.000 0.000 Mn
0.419 0.419 0.500 Mn
0.581 0.000 0.500 Mn
0.752 0.752 0.000 Mn
0.000 0.000 0.500 Cr
0.333 0.667 0.000 Cr
0.667 0.333 0.000 Cr
```

## Properties
For the formation enthalpy at 0 K, the calculation gives 0.3725 eV per atom. The calculation puts the density of states at the Fermi level at 7.5 states/eV/cell. Its space-group type is No. 189.


Record 8
Material: Mn2Cr
Method: DFT, GGA-PBE
State: relaxed

POSCAR file:
```
Mn2Cr
1.0
0.000 3.248 3.248
3.248 0.000 3.248
3.248 3.248 0.000
Mn Cr
4 2
direct
0.000 0.000 0.000 Mn
0.000 0.000 0.500 Mn
0.000 0.500 0.000 Mn
0.500 0.000 0.000 Mn
0.375 0.375 0.375 Cr
0.625 0.625 0.625 Cr
```

## Properties
For the formation enthalpy at 0 K, the calculation gives 0.1249 eV per atom. The calculation puts the density of states at the Fermi level at 7.9 states/eV/cell. Its space-group type is No. 227.


Record 9
Material: Mn3Cr2
Method: DFT, GGA-PBE
State: relaxed

POSCAR file:
```
Mn3Cr2
1.0
1.249 0.721 10.336
-1.249 0.721 10.336
0.000 -1.442 10.336
Mn Cr
3 2
direct
0.000 0.000 0.000 Mn
0.199 0.199 0.199 Mn
0.801 0.801 0.801 Mn
0.400 0.400 0.400 Cr
0.600 0.600 0.600 Cr
```

## Properties
For the formation enthalpy at 0 K, the calculation gives 0.1895 eV per atom. The calculation puts the density of states at the Fermi level at 8.0 states/eV/cell. Its space-group type is No. 166.


Record 10
Material: Mn3Cr5
Method: DFT, GGA-PBE
State: relaxed

POSCAR file:
```
Mn3Cr5
1.0
6.816 0.000 0.000
-3.408 5.903 0.000
0.000 0.000 4.633
Mn Cr
6 10
direct
0.000 0.405 0.250 Mn
0.000 0.595 0.750 Mn
0.405 0.000 0.250 Mn
0.405 0.405 0.750 Mn
0.595 0.000 0.750 Mn
0.595 0.595 0.250 Mn
0.000 0.235 0.750 Cr
0.000 0.765 0.250 Cr
0.235 0.000 0.750 Cr
0.235 0.235 0.250 Cr
0.333 0.667 0.000 Cr
0.333 0.667 0.500 Cr
0.667 0.333 0.000 Cr
0.667 0.333 0.500 Cr
0.765 0.000 0.250 Cr
0.765 0.765 0.750 Cr
```

## Properties
For the formation enthalpy at 0 K, the calculation gives 0.2234 eV per atom. The calculation puts the density of states at the Fermi level at 19.2 states/eV/cell. Its space-group type is No. 193.


| no. | volume (Å³ per atom) |
| --- | --- |
| 1 | 20.38 |
| 2 | 10.92 |
| 3 | 11.45 |
| 4 | 11.63 |
| 5 | 11.53 |
| 6 | 11.67 |
| 7 | 11.68 |
| 8 | 11.42 |
| 9 | 11.17 |
| 10 | 11.65 |